1.
# CePrGa2Ir2

A relaxed CePrGa2Ir2 crystal (PBE, Alexandria via LeMat-Bulk).

Volume: 126 Å³/cell
Space group: No. 164
ΔE_f: -0.7399 eV per atom
Magnetization: 0.00 μB/cell

Lattice parameters (Å, degrees): 4.420 4.420 7.470 90.00 90.00 120.00
Element x y z (fractional)
Ce 0.000 0.000 0.000
Pr 0.000 0.000 0.500
Ga 0.333 0.667 0.760
Ga 0.667 0.333 0.240
Ir 0.333 0.667 0.226
Ir 0.667 0.333 0.774

***

2.
# BaSnBi

A relaxed BaSnBi crystal (PBE, Alexandria via LeMat-Bulk).

Volume: 117 Å³/cell
Space group: No. 156
ΔE_f: -0.5766 eV per atom
Magnetization: 0.00 μB/cell
Energy relative to the lowest polymorph listed for this composition: 9 meV/atom

Lattice parameters (Å, degrees): 5.318 5.318 4.776 90.00 90.00 120.00
Element x y z (fractional)
Ba 0.000 0.000 0.000
Sn 0.667 0.333 0.501
Bi 0.333 0.667 0.499

***

3.
# TlAgSn2

A relaxed TlAgSn2 crystal (PBE, Alexandria via LeMat-Bulk).

Volume: 103 Å³/cell
Space group: No. 123
ΔE_f: 0.0267 eV per atom
Magnetization: 0.00 μB/cell
Energy relative to the lowest polymorph listed for this composition: 0 meV/atom

Lattice parameters (Å, degrees): 3.388 3.388 8.993 90.00 90.00 90.00
Element x y z (fractional)
Tl 0.000 0.000 0.000
Ag 0.000 0.000 0.500
Sn 0.500 0.500 0.288
Sn 0.500 0.500 0.712

***

4.
# CaMgIr2

A relaxed CaMgIr2 crystal (PBE, Alexandria via LeMat-Bulk).

Volume: 70 Å³/cell
Space group: No. 123
ΔE_f: -0.0699 eV per atom
Magnetization: 0.00 μB/cell

Lattice parameters (Å, degrees): 4.504 4.504 3.440 90.00 90.00 90.00
Element x y z (fractional)
Ca 0.000 0.000 0.000
Mg 0.500 0.500 0.000
Ir 0.000 0.500 0.500
Ir 0.500 0.000 0.500

***

5.
# TaBeAg2

A relaxed TaBeAg2 crystal (PBE, Alexandria via LeMat-Bulk).

Volume: 131 Å³/cell
Space group: No. 65
ΔE_f: 0.5783 eV per atom
Magnetization: 0.00 μB/cell

Lattice parameters (Å, degrees): 5.636 8.561 2.724 90.00 90.00 90.00
Element x y z (fractional)
Ta 0.000 0.000 0.000
Ta 0.500 0.500 0.000
Be 0.000 0.500 0.000
Be 0.500 0.000 0.000
Ag 0.250 0.250 0.500
Ag 0.250 0.750 0.500
Ag 0.750 0.250 0.500
Ag 0.750 0.750 0.500

***

6.
# ZnIrC3

A relaxed ZnIrC3 crystal (PBE, Alexandria via LeMat-Bulk).

Volume: 65 Å³/cell
Space group: No. 221
ΔE_f: 2.1371 eV per atom
Magnetization: 0.00 μB/cell
Energy relative to the lowest polymorph listed for this composition: 0 meV/atom

Lattice parameters (Å, degrees): 4.011 4.011 4.011 90.00 90.00 90.00
Element x y z (fractional)
Zn 0.000 0.000 0.000
Ir 0.500 0.500 0.500
C 0.000 0.500 0.500
C 0.500 0.000 0.500
C 0.500 0.500 0.000

***

7.
# Ca3Ga9Rh2

A relaxed Ca3Ga9Rh2 crystal (PBE, Alexandria via LeMat-Bulk).

Volume: 262 Å³/cell
Space group: No. 71
ΔE_f: -0.5402 eV per atom
Magnetization: 0.00 μB/cell

Lattice parameters (Å, degrees): 8.255 8.255 8.255 150.18 107.64 80.17
Element x y z (fractional)
Ca 0.000 0.000 0.000
Ca 0.305 0.305 0.000
Ca 0.695 0.695 0.000
Ga 0.023 0.661 0.362
Ga 0.155 0.871 0.284
Ga 0.299 0.661 0.638
Ga 0.413 0.129 0.284
Ga 0.500 0.000 0.500
Ga 0.587 0.871 0.716
Ga 0.701 0.339 0.362
Ga 0.845 0.129 0.716
Ga 0.977 0.339 0.638
Rh 0.307 0.500 0.807
Rh 0.693 0.500 0.193

***

8.
# EuMg4Sc

A relaxed EuMg4Sc crystal (PBE, Alexandria via LeMat-Bulk).

Volume: 156 Å³/cell
Space group: No. 216
ΔE_f: -0.0199 eV per atom
Magnetization: 7.04 μB/cell

Lattice parameters (Å, degrees): 6.041 6.041 6.041 60.00 60.00 60.00
Element x y z (fractional)
Eu 0.000 0.000 0.000
Mg 0.128 0.624 0.624
Mg 0.624 0.128 0.624
Mg 0.624 0.624 0.128
Mg 0.624 0.624 0.624
Sc 0.250 0.250 0.250

***

9.
# NaSrIn2Ni

A relaxed NaSrIn2Ni crystal (PBE, Alexandria via LeMat-Bulk).

Volume: 142 Å³/cell
Space group: No. 123
ΔE_f: -0.1384 eV per atom
Magnetization: 0.00 μB/cell
Energy relative to the lowest polymorph listed for this composition: 0 meV/atom

Lattice parameters (Å, degrees): 5.094 5.094 5.488 90.00 90.00 90.00
Element x y z (fractional)
Na 0.000 0.000 0.000
Sr 0.500 0.500 0.000
In 0.000 0.500 0.500
In 0.500 0.000 0.500
Ni 0.500 0.500 0.500

***

10.
# Pm3PaTc2

A relaxed Pm3PaTc2 crystal (PBE, Alexandria via LeMat-Bulk).

Volume: 326 Å³/cell
Space group: No. 12
ΔE_f: 0.0417 eV per atom
Magnetization: 0.00 μB/cell

Lattice parameters (Å, degrees): 9.018 9.018 12.180 126.31 126.31 24.44
Element x y z (fractional)
Pm 0.045 0.045 0.277
Pm 0.242 0.242 0.616
Pm 0.383 0.383 0.967
Pm 0.617 0.617 0.033
Pm 0.758 0.758 0.384
Pm 0.955 0.955 0.723
Pa 0.361 0.361 0.258
Pa 0.639 0.639 0.742
Tc 0.180 0.180 0.915
Tc 0.421 0.421 0.496
Tc 0.579 0.579 0.504
Tc 0.820 0.820 0.085

***

11.
# Sm6GeIr2Br3

A relaxed Sm6GeIr2Br3 crystal (PBE, Alexandria via LeMat-Bulk).

Volume: 345 Å³/cell
Space group: No. 12
Energy relative to the elements, uncorrected: -1.08 eV per atom
Magnetization: 0.00 μB/cell

Lattice parameters (Å, degrees): 7.246 7.246 7.964 98.72 98.72 120.00
Element x y z (fractional)
Sm 0.086 0.434 0.801
Sm 0.218 0.218 0.199
Sm 0.434 0.086 0.801
Sm 0.566 0.914 0.199
Sm 0.782 0.782 0.801
Sm 0.914 0.566 0.199
Ge 0.500 0.500 0.000
Ir 0.167 0.833 0.000
Ir 0.833 0.167 0.000
Br 0.000 0.000 0.500
Br 0.338 0.662 0.500
Br 0.662 0.338 0.500

***

12.
# ErZn12Ga6

A relaxed ErZn12Ga6 crystal (PBE, Alexandria via LeMat-Bulk).

Volume: 343 Å³/cell
Space group: No. 166
ΔE_f: 0.0553 eV per atom
Magnetization: 0.00 μB/cell

Lattice parameters (Å, degrees): 7.304 7.304 7.304 104.72 104.72 104.72
Element x y z (fractional)
Er 0.000 0.000 0.000
Zn 0.107 0.500 0.893
Zn 0.107 0.893 0.500
Zn 0.132 0.369 0.369
Zn 0.369 0.132 0.369
Zn 0.369 0.369 0.132
Zn 0.500 0.107 0.893
Zn 0.500 0.893 0.107
Zn 0.631 0.631 0.868
Zn 0.631 0.868 0.631
Zn 0.868 0.631 0.631
Zn 0.893 0.107 0.500
Zn 0.893 0.500 0.107
Ga 0.281 0.706 0.706
Ga 0.294 0.294 0.719
Ga 0.294 0.719 0.294
Ga 0.706 0.281 0.706
Ga 0.706 0.706 0.281
Ga 0.719 0.294 0.294

***

13.
# Nd4Y5Tm3

A relaxed Nd4Y5Tm3 crystal (PBE, Alexandria via LeMat-Bulk).

Volume: 403 Å³/cell
Space group: No. 12
ΔE_f: 0.2232 eV per atom
Magnetization: 0.63 μB/cell

Lattice parameters (Å, degrees): 8.636 8.636 9.404 115.08 115.08 40.12
Element x y z (fractional)
Nd 0.085 0.085 0.449
Nd 0.218 0.218 0.883
Nd 0.782 0.782 0.117
Nd 0.915 0.915 0.551
Y 0.000 0.000 0.000
Y 0.330 0.330 0.618
Y 0.429 0.429 0.294
Y 0.571 0.571 0.706
Y 0.670 0.670 0.382
Tm 0.213 0.213 0.237
Tm 0.500 0.500 0.000
Tm 0.787 0.787 0.763

***

14.
# CaMn2P

A relaxed CaMn2P crystal (PBE, Alexandria via LeMat-Bulk).

Volume: 146 Å³/cell
Space group: No. 139
ΔE_f: 0.1859 eV per atom
Magnetization: 15.46 μB/cell

Lattice parameters (Å, degrees): 3.982 3.982 9.203 90.00 90.00 90.00
Element x y z (fractional)
Ca 0.000 0.000 0.000
Ca 0.500 0.500 0.500
Mn 0.000 0.500 0.250
Mn 0.000 0.500 0.750
Mn 0.500 0.000 0.250
Mn 0.500 0.000 0.750
P 0.000 0.000 0.500
P 0.500 0.500 0.000